Compound: Nd3Dy
Source: the Alexandria database
Functional: meta-GGA SCAN
Structure: PBEsol geometry

* energy relative to the lowest polymorph listed for this composition: 0.00 eV/f.u.
* symmetry: Pm-3m
* formation energy from the elements: 0.014 eV per atom
* V: 128 Å³ per cell
* total DFT energy (no corrections): -44.62 eV/atom
* N(E_F): 5.18 states/eV per cell

a b c (Å): 5.042 5.042 5.042
angles (deg): 90.00 90.00 90.00
Sites, in units of the cell vectors:
Nd 0.000 0.000 0.500
Nd 0.000 0.500 0.000
Nd 0.500 0.000 0.000
Dy 0.500 0.500 0.500